TbGdFe2I2 | PBE | optimized geometry

Results
The volume comes out at 172.6 Å³ per cell. The value obtained for the total DFT energy (no corrections) is -33.20 eV/cell. Its theoretical density is 6.557 g/cm3.

a b c (Å): 3.9704 3.9704 12.6456
angles (deg): 90.00 90.00 120.00
Space group P3m1 (No. 156)
Unique sites:
1 Tb 0.0000 0.0000 0.0000 x1
2 Gd 0.0000 0.0000 0.3065 x1
3 Fe 0.3333 0.6667 0.1502 x1
4 Fe 0.6667 0.3333 0.1552 x1
5 I 0.3333 0.6667 0.4777 x1
6 I 0.6667 0.3333 0.8293 x1

---

HoTa2 | PBE | optimized geometry

Results
The volume comes out at 286.0 Å³ per cell. The value obtained for the total DFT energy (no corrections) is -92.71 eV/cell. Its theoretical density is 12.234 g/cm3. Its calculated formation energy is 1.701 eV/atom. As for the distance to the lowest polymorph of the same formula: 1444 meV per atom.

a b c (Å): 6.589 6.589 6.589
angles (deg): 90.00 90.00 90.00
Space group Fm-3m (No. 225)
Unique sites:
1 Ho 0.000 0.000 0.000 x4
2 Ta 0.250 0.250 0.250 x8